Record 1
Compound: InCuSn
Source: Alexandria via LeMat-Bulk
Functional: PBE
Structure: relaxed

Lattice parameters (Å, degrees): 6.201 3.112 13.762 90.00 90.00 90.00
Positions (direct):
Sn 0.270 0.250 0.457
Sn 0.230 0.750 0.957
Sn 0.730 0.750 0.543
Sn 0.770 0.250 0.043
Cu 0.924 0.250 0.858
Cu 0.576 0.750 0.358
Cu 0.076 0.750 0.142
Cu 0.424 0.250 0.642
In 0.912 0.250 0.294
In 0.588 0.750 0.794
In 0.088 0.750 0.706
In 0.412 0.250 0.206

Calculated values
**VASP energy**: -0.1303 hartree per atom

***

Record 2
Compound: BePb3
Source: Alexandria via LeMat-Bulk
Functional: PBE
Structure: relaxed

Lattice parameters (Å, degrees): 3.777 8.581 6.651 90.00 90.00 90.00
Positions (direct):
Be 0.000 0.691 0.000
Be 0.500 0.309 0.500
Pb 0.500 0.458 0.000
Pb 0.000 0.542 0.500
Pb 0.000 0.167 0.253
Pb 0.000 0.167 0.747
Pb 0.500 0.833 0.753
Pb 0.500 0.833 0.247

Calculated values
**Relative energy among the computed polymorphs**: 0.096 eV per atom

***

Record 3
Compound: Tl2CdGeF
Source: Alexandria via LeMat-Bulk
Functional: PBE
Structure: relaxed

Lattice parameters (Å, degrees): 5.339 4.532 5.339 90.00 90.00 90.00
Positions (direct):
Tl 0.000 0.000 0.500
Tl 0.500 0.000 0.000
F 0.000 0.000 0.000
Ge 0.000 0.500 0.000
Cd 0.500 0.500 0.500

Calculated values
**Energy relative to the elements, uncorrected**: -0.319 eV/atom